[1]
Material: HgAsHAu2
Method: DFT, PBE
State: optimized geometry

Cell: 5.1360 5.1360 3.4667 Å, 90.00 90.00 90.00°
Closest atoms and distances in Å follow each position.
Space group P4/mmm (No. 123)
Symmetry-distinct sites (fractional):
Hg  0.0000  0.0000  0.0000  8 Au 3.10, 2 Hg 3.47
As  0.5000  0.5000  0.5000  2 H 1.73
H  0.5000  0.5000  0.0000  2 As 1.73
Au  0.0000  0.5000  0.5000  2 As 2.57

**Electronic total energy**: -14.0 eV for the cell shown
**Volume**: 91.4 Å³/cell
**Total magnetization**: 0.00 μB/cell



[2]
Material: NaAsH2Au
Method: DFT, PBE
State: optimized geometry

Cell: 3.7515 3.7515 6.2202 Å, 90.00 90.00 90.00°
Closest atoms and distances in Å follow each position.
Space group P4/mmm (No. 123)
Symmetry-distinct sites (fractional):
Na  0.0000  0.0000  0.0000  4 As 2.65
As  0.5000  0.5000  0.0000  4 Na 2.65
H  0.0000  0.5000  0.5000  2 Au 1.88
Au  0.0000  0.0000  0.5000  4 H 1.88

**Electronic total energy**: -13.5 eV for the cell shown
**Volume**: 87.5 Å³/cell
**Total magnetization**: 1.13 μB/cell



[3]
Material: NpAsHAu
Method: DFT, PBE
State: optimized geometry

Cell: 4.1109 4.1109 7.6268 Å, 90.00 90.00 90.00°
Closest atoms and distances in Å follow each position.
Space group P4/nmm (No. 129, origin choice 2)
Symmetry-distinct sites (fractional):
Np  0.2500  0.2500  0.1424  4 H 2.32
As  0.2500  0.2500  0.7450  4 Au 2.78, 4 H 2.83, 5 Np 3.03
H  0.2500  0.7500  0.0000  4 Np 2.32
Au  0.2500  0.7500  0.5000  4 As 2.78, 4 Au 2.91

**Electronic total energy**: -51.1 eV for the cell shown
**Volume**: 128.9 Å³/cell
**Total magnetization**: 7.99 μB/cell



[4]
Material: RbAs2HAu
Method: DFT, PBE
State: optimized geometry

Cell: 6.0222 6.0222 3.3442 Å, 90.00 90.00 90.00°
Closest atoms and distances in Å follow each position.
Space group P4/mmm (No. 123)
Symmetry-distinct sites (fractional):
Rb  0.0000  0.0000  0.0000  2 H 1.67
As  0.0000  0.5000  0.0000  2 Rb 3.01, 2 As 3.34
H  0.0000  0.0000  0.5000  2 Rb 1.67
Au  0.5000  0.5000  0.5000  2 Au 3.34, 8 As 3.44

**Electronic total energy**: -9.6 eV for the cell shown
**Volume**: 121.3 Å³/cell
**Total magnetization**: 0.00 μB/cell



[5]
Material: SiAsHAu2
Method: DFT, PBE
State: optimized geometry

Cell: 5.0826 5.0826 3.2680 Å, 90.00 90.00 90.00°
Closest atoms and distances in Å follow each position.
Space group P4/mmm (No. 123)
Symmetry-distinct sites (fractional):
Si  0.0000  0.0000  0.0000  8 Au 3.02, 2 Si 3.27
As  0.5000  0.5000  0.5000  2 H 1.63
H  0.5000  0.5000  0.0000  2 As 1.63
Au  0.0000  0.5000  0.5000  2 As 2.54

**Electronic total energy**: -18.0 eV for the cell shown
**Volume**: 84.4 Å³/cell
**Total magnetization**: 0.00 μB/cell



[6]
Material: SnAsHAu2
Method: DFT, PBE
State: optimized geometry

Cell: 5.2155 5.2155 3.3929 Å, 90.00 90.00 90.00°
Closest atoms and distances in Å follow each position.
Space group P4/mmm (No. 123)
Symmetry-distinct sites (fractional):
Sn  0.0000  0.0000  0.0000  8 Au 3.11, 2 Sn 3.39
As  0.5000  0.5000  0.5000  2 H 1.70
H  0.5000  0.5000  0.0000  2 As 1.70
Au  0.0000  0.5000  0.5000  2 As 2.61

**Electronic total energy**: -18.0 eV for the cell shown
**Volume**: 92.3 Å³/cell
**Total magnetization**: 0.00 μB/cell



[7]
Material: SrAsHAu2
Method: DFT, PBE
State: optimized geometry

Cell: 5.6456 5.6456 3.9540 Å, 90.00 90.00 90.00°
Closest atoms and distances in Å follow each position.
Space group P4/mmm (No. 123)
Symmetry-distinct sites (fractional):
Sr  0.0000  0.0000  0.0000  2 H 1.98
As  0.5000  0.5000  0.5000  8 Au 3.45
H  0.0000  0.0000  0.5000  2 Sr 1.98
Au  0.0000  0.5000  0.0000  2 Sr 2.82

**Electronic total energy**: -13.2 eV for the cell shown
**Volume**: 126.0 Å³/cell
**Total magnetization**: 0.00 μB/cell



[8]
Material: TlAsHAu2
Method: DFT, PBE
State: optimized geometry

Cell: 5.2051 5.2051 3.5955 Å, 90.00 90.00 90.00°
Closest atoms and distances in Å follow each position.
Space group P4/mmm (No. 123)
Symmetry-distinct sites (fractional):
Tl  0.0000  0.0000  0.0000  8 Au 3.16
As  0.5000  0.5000  0.5000  2 H 1.80
H  0.5000  0.5000  0.0000  2 As 1.80
Au  0.0000  0.5000  0.5000  2 As 2.60

**Electronic total energy**: -16.4 eV for the cell shown
**Volume**: 97.4 Å³/cell
**Total magnetization**: 0.00 μB/cell



[9]
Material: HfAs3Au
Method: DFT, PBE
State: optimized geometry

Cell: 4.9375 4.9375 4.9375 Å, 90.00 90.00 90.00°
Closest atoms and distances in Å follow each position.
Space group Pm-3m (No. 221)
Symmetry-distinct sites (fractional):
Hf  0.0000  0.0000  0.0000  12 As 3.49
As  0.0000  0.5000  0.5000  2 Au 2.47
Au  0.5000  0.5000  0.5000  6 As 2.47

**Electronic total energy**: -23.2 eV for the cell shown
**Volume**: 120.4 Å³/cell
**Calculated formation energy**: 3.936 eV per formula unit
**Distance to the lowest polymorph of the same formula**: 34.1 kJ/mol of atoms
**Total magnetization**: 0.00 μB/cell



[10]
Material: Hf2As2Au
Method: DFT, PBE
State: optimized geometry

Cell: 7.4240 7.4240 3.4476 Å, 90.00 90.00 90.00°
Closest atoms and distances in Å follow each position.
Space group P4/mbm (No. 127)
Symmetry-distinct sites (fractional):
Hf  0.1496  0.3504  0.0000  6 As 2.75-2.80
As  0.1468  0.6468  0.5000  6 Hf 2.75-2.80, 2 Au 2.84
Au  0.0000  0.0000  0.5000  4 As 2.84

**Electronic total energy**: -70.9 eV for the cell shown
**Volume**: 190.0 Å³/cell
**Calculated formation energy**: -2.967 eV per formula unit
**Distance to the lowest polymorph of the same formula**: 3.9 kJ/mol of atoms
**Total magnetization**: 0.00 μB/cell



[11]
Material: Hf2As2Au
Method: DFT, PBE
State: optimized geometry

Cell: 7.4808 7.4808 3.5369 Å, 90.00 90.00 90.00°
Closest atoms and distances in Å follow each position.
Space group P4/mbm (No. 127)
Symmetry-distinct sites (fractional):
Hf  0.1485  0.3515  0.0000  6 As 2.79-2.83, 2 Au 2.85
As  0.1476  0.6476  0.5000  6 Hf 2.79-2.83
Au  0.0000  0.0000  0.0000  4 Hf 2.85

**Electronic total energy**: -71.3 eV for the cell shown
**Volume**: 197.9 Å³/cell
**Calculated formation energy**: -3.169 eV per formula unit
**Distance to the lowest polymorph of the same formula**: 0.0 kJ/mol of atoms
**Total magnetization**: 0.00 μB/cell



[12]
Material: Hf2AsAu
Method: DFT, PBE
State: optimized geometry

Cell: 3.6431 3.6431 21.5910 Å, 90.00 90.00 120.00°
Closest atoms and distances in Å follow each position.
Space group R3m (No. 160, hexagonal axes)
Symmetry-distinct sites (fractional):
Hf  0.0000  0.0000  0.0000  3 As 2.65, 3 Au 2.87
Hf  0.0000  0.0000  0.1814  3 As 2.68, 3 Au 2.88
As  0.0000  0.0000  0.5919  6 Hf 2.65-2.68
Au  0.0000  0.0000  0.4236  6 Hf 2.87-2.88

**Electronic total energy**: -90.4 eV for the cell shown
**Volume**: 248.2 Å³/cell
**Calculated formation energy**: -2.308 eV per formula unit
**Total magnetization**: 0.00 μB/cell



[13]
Material: Hf2AsAu
Method: DFT, PBE
State: optimized geometry

Cell: 3.6943 3.6943 20.9934 Å, 90.00 90.00 120.00°
Closest atoms and distances in Å follow each position.
Space group R-3m (No. 166, hexagonal axes)
Symmetry-distinct sites (fractional):
Hf  0.0000  0.0000  0.2435  3 As 2.67, 3 Au 2.85
As  0.0000  0.0000  0.5000  6 Hf 2.67
Au  0.0000  0.0000  0.0000  6 Hf 2.85

**Electronic total energy**: -91.1 eV for the cell shown
**Volume**: 248.1 Å³/cell
**Calculated formation energy**: -2.527 eV per formula unit
**Total magnetization**: 0.00 μB/cell